[1]
Computed, not measured: crystalline CaSm6Dy8 at its relaxed geometry at the PBE level of DFT.

Structure (CIF):
```
data_CaSm6Dy8
_cell_length_a 9.7021
_cell_length_b 9.7021
_cell_length_c 18.0955
_cell_angle_alpha 90.00
_cell_angle_beta 90.00
_cell_angle_gamma 120.00
_space_group_name_H-M_alt 'R -3'
_space_group_IT_number 148
_space_group_name_Hall '-R 3'
loop_
_atom_site_label
_atom_site_type_symbol
_atom_site_fract_x
_atom_site_fract_y
_atom_site_fract_z
Ca1 Ca 0.0000 0.0000 0.0000
Sm1 Sm 0.0259 0.7897 0.4082
Dy1 Dy 0.0000 0.0000 0.2363
Dy2 Dy 0.0466 0.7676 0.9021
```

***

[2]
Computed, not measured: crystalline CaSmDy at its relaxed geometry at the PBE level of DFT.

Structure (CIF):
```
data_CaSmDy
_cell_length_a 3.654
_cell_length_b 3.654
_cell_length_c 15.834
_cell_angle_alpha 90.00
_cell_angle_beta 90.00
_cell_angle_gamma 90.00
_space_group_name_H-M_alt 'P 4/n m m'
_space_group_IT_number 129
loop_
_space_group_symop_operation_xyz
'x,y,z'
'-x,-y,-z'
'-y+1/2,x,z'
'y+1/2,-x,-z'
'-x+1/2,-y+1/2,z'
'x+1/2,y+1/2,-z'
'y,-x+1/2,z'
'-y,x+1/2,-z'
'x+1/2,-y,-z'
'-x+1/2,y,z'
'-y,-x,-z'
'y,x,z'
'-x,y+1/2,-z'
'x,-y+1/2,z'
'y+1/2,x+1/2,-z'
'-y+1/2,-x+1/2,z'
loop_
_atom_site_label
_atom_site_type_symbol
_atom_site_fract_x
_atom_site_fract_y
_atom_site_fract_z
Ca1 Ca 0.250 0.250 0.094
Sm1 Sm 0.250 0.250 0.730
Dy1 Dy 0.250 0.250 0.421
```

***

[3]
Computed, not measured: crystalline Ca2Sm4Dy5 at its relaxed geometry at the PBE level of DFT.

Structure (CIF):
```
data_Ca2Sm4Dy5
_cell_length_a 6.281
_cell_length_b 8.075
_cell_length_c 8.125
_cell_angle_alpha 107.80
_cell_angle_beta 97.49
_cell_angle_gamma 105.02
_space_group_name_H-M_alt 'P -1'
_space_group_IT_number 2
_space_group_name_Hall '-P 1'
loop_
_atom_site_label
_atom_site_type_symbol
_atom_site_fract_x
_atom_site_fract_y
_atom_site_fract_z
Ca1 Ca 0.181 0.227 0.138
Sm1 Sm 0.091 0.855 0.330
Sm2 Sm 0.275 0.594 0.953
Dy1 Dy 0.000 0.500 0.500
Dy2 Dy 0.372 0.956 0.765
Dy3 Dy 0.454 0.314 0.595
```

***

[4]
Computed, not measured: crystalline CaSm5Dy2 at its relaxed geometry at the PBE level of DFT.

Structure (CIF):
```
data_CaSm5Dy2
_cell_length_a 3.630
_cell_length_b 11.386
_cell_length_c 13.309
_cell_angle_alpha 90.00
_cell_angle_beta 90.00
_cell_angle_gamma 90.00
_space_group_name_H-M_alt 'I m m m'
_space_group_IT_number 71
_space_group_name_Hall '-I 2 2'
loop_
_atom_site_label
_atom_site_type_symbol
_atom_site_fract_x
_atom_site_fract_y
_atom_site_fract_z
Ca1 Ca 0.000 0.000 0.000
Sm1 Sm 0.000 0.225 0.365
Sm2 Sm 0.000 0.500 0.000
Dy1 Dy 0.000 0.500 0.258
```

***

no.,formation enthalpy at 0 K (eV/atom),electronic total energy (eV per atom)
1,0.186,-4.289
2,0.039,-3.736
3,0.068,-4.104
4,0.047,-4.303